A plane-wave DFT calculation with PBE was carried out for a geometry-optimized AsS structure.

It has space group P2_12_12_1 (No. 19), with a = 5.826 Å, b = 9.162 Å, c = 11.040 Å, α = 90.00°, β = 90.00° and γ = 90.00°. The inequivalent atoms are As at (0.150, 0.178, 0.200), As at (0.209, 0.810, 0.241), S at (0.160, 0.015, 0.357) and S at (0.202, 0.638, 0.387).

Its crystal system is orthorhombic. The energy relative to the elements, uncorrected is -0.11 eV/f.u. For the total energy, the calculation gives -71.07 eV for the cell shown. Its excess energy over the best structure of this formula in the dataset is 86 meV per atom.